Computed, not measured: an optimized crystal structure of KAs3Pb4O12 at the GGA-PBEsol level of DFT.

Cell and atoms, written as CIF:
```
data_KAs3Pb4O12
_chemical_formula_sum 'K2 As6 Pb8 O24'
_symmetry_space_group_name_H-M 'P 63'
_symmetry_Int_Tables_number 173
_symmetry_space_group_name_Hall 'P 6c'
_cell_length_a 10.1074
_cell_length_b 10.1074
_cell_length_c 7.4393
_cell_angle_alpha 90.00
_cell_angle_beta 90.00
_cell_angle_gamma 120.00
loop_
_atom_site_label
_atom_site_type_symbol
_atom_site_fract_x
_atom_site_fract_y
_atom_site_fract_z
K1 K 0.3333 0.6667 0.0000
As1 As 0.0175 0.3904 0.2375
Pb1 Pb 0.0021 0.2577 0.7384
Pb2 Pb 0.3333 0.6667 0.5031
O1 O 0.0865 0.3429 0.4230
O2 O 0.0914 0.3405 0.0596
O3 O 0.0979 0.5866 0.2447
O4 O 0.1773 0.6990 0.7298
```

Properties
Energy relative to the elements, uncorrected = -1.37 eV/atom
Density = 6.48 g cm⁻³
Crystal system = hexagonal
VASP energy = -6.1407 eV per atom